No. 1
Here is crystalline Tc3PbF at its relaxed geometry from Alexandria. Energies are from GGA-PBE. Values from VASP.

Results
Its space-group type is No. 221. The calculated density is 10.549 Mg/m³. As for the energy relative to the lowest polymorph listed for this composition: 0.0 meV/atom. Its electronic total energy is -31.88 eV per cell.

Cell and atoms, written as Quantum ESPRESSO input:
```
&SYSTEM
  ibrav = 0, nat = 5, ntyp = 3
/
ATOMIC_SPECIES
Tc 98.00 Tc.upf
Pb 207.20 Pb.upf
F 19.00 F.upf
CELL_PARAMETERS angstrom
4.3424 0.0000 0.0000
0.0000 4.3424 0.0000
0.0000 0.0000 4.3424
ATOMIC_POSITIONS crystal
Tc 0.0000 0.0000 0.5000
Tc 0.0000 0.5000 0.0000
Tc 0.5000 0.0000 0.0000
Pb 0.5000 0.5000 0.5000
F 0.0000 0.0000 0.0000
```

***

No. 2
Here is crystalline Bi2Rh at its relaxed geometry from Alexandria. Energies are from GGA-PBE. Values from VASP.

Results
Its space-group type is No. 62. Its formation energy is -0.1339 eV/atom. The calculated density is 11.016 Mg/m³. Its electronic total energy is -62.06 eV per cell.

Cell and atoms, written as Quantum ESPRESSO input:
```
&SYSTEM
  ibrav = 0, nat = 12, ntyp = 2
/
ATOMIC_SPECIES
Bi 208.98 Bi.upf
Rh 102.91 Rh.upf
CELL_PARAMETERS angstrom
14.0297 0.0000 0.0000
0.0000 3.5766 0.0000
0.0000 0.0000 6.2587
ATOMIC_POSITIONS crystal
Bi 0.0546 0.2500 0.2185
Bi 0.1937 0.2500 0.6276
Bi 0.3063 0.7500 0.1276
Bi 0.4454 0.7500 0.7185
Bi 0.5546 0.2500 0.2815
Bi 0.6937 0.2500 0.8724
Bi 0.8063 0.7500 0.3724
Bi 0.9454 0.7500 0.7815
Rh 0.1347 0.7500 0.9324
Rh 0.3653 0.2500 0.4324
Rh 0.6347 0.7500 0.5676
Rh 0.8653 0.2500 0.0676
```

***

No. 3
Here is crystalline CeDyYPa at its relaxed geometry from Alexandria. Energies are from GGA-PBE. Values from VASP.

Results
Its space-group type is No. 216. Its formation energy is 0.3708 eV/atom. The calculated density is 8.597 Mg/m³. Its electronic total energy is -25.01 eV per cell.

Cell and atoms, written as Quantum ESPRESSO input:
```
&SYSTEM
  ibrav = 0, nat = 4, ntyp = 4
/
ATOMIC_SPECIES
Ce 140.12 Ce.upf
Dy 162.50 Dy.upf
Y 88.91 Y.upf
Pa 231.04 Pa.upf
CELL_PARAMETERS angstrom
0.0000 3.9175 3.9175
3.9175 0.0000 3.9175
3.9175 3.9175 0.0000
ATOMIC_POSITIONS crystal
Ce 0.0000 0.0000 0.0000
Dy 0.5000 0.5000 0.5000
Y 0.2500 0.2500 0.2500
Pa 0.7500 0.7500 0.7500
```

***

No. 4
Here is crystalline Pr7DyTm12 at its relaxed geometry from Alexandria. Energies are from GGA-PBE. Values from VASP.

Results
Its space-group type is No. 229. Its formation energy is 0.6536 eV/atom. The calculated density is 7.418 Mg/m³. As for the energy relative to the lowest polymorph listed for this composition: 425.9 meV/atom. Its electronic total energy is -78.65 eV per cell.

Cell and atoms, written as Quantum ESPRESSO input:
```
&SYSTEM
  ibrav = 0, nat = 20, ntyp = 3
/
ATOMIC_SPECIES
Pr 140.91 Pr.upf
Dy 162.50 Dy.upf
Tm 168.93 Tm.upf
CELL_PARAMETERS angstrom
-5.6225 5.6225 5.6225
5.6225 -5.6225 5.6225
5.6225 5.6225 -5.6225
ATOMIC_POSITIONS crystal
Pr 0.0000 0.0000 0.5000
Pr 0.0000 0.5000 0.0000
Pr 0.0000 0.5000 0.5000
Pr 0.5000 0.0000 0.0000
Pr 0.5000 0.0000 0.5000
Pr 0.5000 0.5000 0.0000
Pr 0.5000 0.5000 0.5000
Dy 0.0000 0.0000 0.0000
Tm 0.0000 0.2456 0.7544
Tm 0.0000 0.7544 0.2456
Tm 0.2456 0.0000 0.7544
Tm 0.2456 0.2456 0.4911
Tm 0.2456 0.4911 0.2456
Tm 0.2456 0.7544 0.0000
Tm 0.4911 0.2456 0.2456
Tm 0.5089 0.7544 0.7544
Tm 0.7544 0.0000 0.2456
Tm 0.7544 0.2456 0.0000
Tm 0.7544 0.5089 0.7544
Tm 0.7544 0.7544 0.5089
```

***

- Number 1 is which compound?
  Tc3PbF

***

- What is the calculated density in the first record?
  10.549 Mg/m³

***

- Look up the calculated density of the fourth one.
  7.418 Mg/m³

***

- The highest calculated density belongs to which entry?
  Bi2Rh